Entry 1:
The following is a DFT calculation (PBE) of Sm3Ge4Os2 after structural relaxation.

Lattice parameters (Å, degrees): 5.9049 5.9049 8.2942 107.89 107.89 43.67
Last column: nearest neighbours and their distance in Å.
Fractional positions:
Sm: 0.0000 0.0000 0.0000  8 Ge 3.11-3.44
Sm: 0.3804 0.3804 0.3003  7 Ge 2.99-3.24, 4 Os 3.11-3.23
Sm: 0.6196 0.6196 0.6997  7 Ge 2.99-3.24, 4 Os 3.11-3.23
Ge: 0.0968 0.0968 0.4039  3 Os 2.47-2.54
Ge: 0.2880 0.2880 0.9189  1 Os 2.45
Ge: 0.7120 0.7120 0.0811  1 Os 2.45
Ge: 0.9032 0.9032 0.5961  3 Os 2.47-2.54
Os: 0.3159 0.3159 0.6383  4 Ge 2.45-2.54
Os: 0.6841 0.6841 0.3617  4 Ge 2.45-2.54

Results
The calculation puts the calculated volume at 188 Å³ per cell. Its formation energy is -0.614 eV per atom.

=====

Entry 2:
The following is a DFT calculation (PBE) of CuRe2Os after structural relaxation.

Lattice parameters (Å, degrees): 2.7248 3.8784 5.3735 90.00 90.00 90.00
Last column: nearest neighbours and their distance in Å.
Fractional positions:
Cu: 0.0000 0.0000 0.0000  6 Re 2.66-2.71, 4 Os 2.71, 2 Cu 2.72
Re: 0.0000 0.0000 0.4957  2 Cu 2.66-2.71, 6 Re 2.72-2.77, 4 Os 2.73
Re: 0.5000 0.5000 0.7621  2 Os 2.58-2.79, 4 Cu 2.69, 6 Re 2.72-2.77
Os: 0.5000 0.5000 0.2427  6 Re 2.58-2.79, 4 Cu 2.71, 2 Os 2.72

Results
The calculation puts the calculated volume at 57 Å³ per cell. Its formation energy is 0.222 eV per atom.

=====

Entry 3:
The following is a DFT calculation (PBE) of K3AuF8 after structural relaxation.

Lattice parameters (Å, degrees): 8.0868 8.0868 7.3173 90.00 90.00 120.00
Last column: nearest neighbours and their distance in Å.
Fractional positions:
K: 0.1560 0.3121 0.0000  1 F 2.49
K: 0.1560 0.8440 0.0000  1 F 2.49
K: 0.3121 0.1560 0.5000  1 F 2.49
K: 0.6879 0.8440 0.0000  1 F 2.49
K: 0.8440 0.1560 0.5000  1 F 2.49
K: 0.8440 0.6879 0.5000  1 F 2.49
Au: 0.3333 0.6667 0.4791  6 F 1.97-1.98
Au: 0.6667 0.3333 0.9791  6 F 1.97-1.98
F: 0.0000 0.0000 0.2583  6 K 2.81-2.89, 3 F 3.15
F: 0.0000 0.0000 0.7583  6 K 2.81-2.89, 3 F 3.15
F: 0.0981 0.5491 0.3322  1 Au 1.97
F: 0.2131 0.4262 0.6212  1 Au 1.98
F: 0.2131 0.7869 0.6212  1 Au 1.98
F: 0.3333 0.6667 0.9796  3 K 2.49
F: 0.4262 0.2131 0.1212  1 Au 1.98
F: 0.4509 0.5491 0.3322  1 Au 1.97
F: 0.4509 0.9019 0.3322  1 Au 1.97
F: 0.5491 0.0981 0.8322  1 Au 1.97
F: 0.5491 0.4509 0.8322  1 Au 1.97
F: 0.5738 0.7869 0.6212  1 Au 1.98
F: 0.6667 0.3333 0.4796  3 K 2.49
F: 0.7869 0.2131 0.1212  1 Au 1.98
F: 0.7869 0.5738 0.1212  1 Au 1.98
F: 0.9019 0.4509 0.8322  1 Au 1.97

Results
The calculation puts the calculated volume at 414 Å³ per cell. The formation energy from raw total energies is -1.89 eV/atom.

=====

For each record above, in turn, the calculated size of the total moment values are 0.00; 0.00; 0.08 μB per formula unit.